(1)
The following is a DFT calculation (GGA-PBE) of a geometry-optimized K4La3GaS8 structure.

space group	C2/m (12)
electronic total energy	-80.425	eV for the cell shown
formation energy from raw total energies	-1.5754	eV/atom
magnetic moment	0.000	μB/atom
mass density	3.33	g/cm3

a b c (Å): 8.400 8.400 8.842
angles (deg): 118.39 118.39 59.03
Fractional positions:
K1 0.000 0.000 0.000
K2 0.000 0.500 0.000
K3 0.500 0.000 0.000
K4 0.500 0.500 0.000
La1 0.000 0.000 0.500
La2 0.000 0.500 0.500
La3 0.500 0.000 0.500
Ga1 0.500 0.500 0.500
S1 0.235 0.235 0.711
S2 0.256 0.256 0.281
S3 0.270 0.708 0.691
S4 0.292 0.730 0.309
S5 0.708 0.270 0.691
S6 0.730 0.292 0.309
S7 0.744 0.744 0.719
S8 0.765 0.765 0.289

---

(2)
The following is a DFT calculation (GGA-PBE) of a geometry-optimized Y2ErZn structure.

D(E_F)	4.3	states/eV per cell
energy relative to the elements	-0.1612	eV per atom
space group	P4/mmm (123)
electronic total energy	-19.410	eV for the cell shown
energy relative to the lowest polymorph listed for this composition	0	meV/atom
magnetic moment	0.000	μB/atom
mass density	6.22	g/cm3

a b c (Å): 3.569 3.569 8.607
angles (deg): 90.00 90.00 90.00
Fractional positions:
Y1 0.000 0.000 0.207
Y2 0.000 0.000 0.793
Er1 0.500 0.500 0.500
Zn1 0.500 0.500 0.000